A geometry-optimized SrCr2FeO8 structure. Source: Alexandria via LeMat-Bulk, functional PBE with a Hubbard U.

Values from the calculation:
Energy in eV/f.u.: -81.65

Structure (CIF):
```
data_SrCr2FeO8
_space_group_name_H-M_alt 'P 1'
_space_group_IT_number 1
_cell_length_a 5.555
_cell_length_b 5.555
_cell_length_c 6.872
_cell_angle_alpha 90.00
_cell_angle_beta 90.00
_cell_angle_gamma 120.00
loop_
_space_group_symop_operation_xyz
'x,y,z'
loop_
_atom_site_label
_atom_site_type_symbol
_atom_site_fract_x
_atom_site_fract_y
_atom_site_fract_z
Sr1 Sr 0.000 0.000 0.000
Cr1 Cr 0.333 0.667 0.770
Cr2 Cr 0.667 0.333 0.230
Fe1 Fe 0.000 0.000 0.500
O1 O 0.164 0.335 0.696
O2 O 0.171 0.836 0.696
O3 O 0.333 0.667 0.009
O4 O 0.335 0.171 0.304
O5 O 0.665 0.829 0.696
O6 O 0.667 0.333 0.991
O7 O 0.829 0.164 0.304
O8 O 0.836 0.665 0.304
```